# 1
# CaCu3Hg (GGA-PBE, relaxed)
data_CaCu3Hg
_space_group_name_H-M_alt 'P m -3 m'
_space_group_IT_number 221
_space_group_name_Hall '-P 4 2 3'
_cell_length_a 5.227
_cell_length_b 5.227
_cell_length_c 5.227
_cell_angle_alpha 90.00
_cell_angle_beta 90.00
_cell_angle_gamma 90.00
loop_
_atom_site_label
_atom_site_fract_x
_atom_site_fract_y
_atom_site_fract_z
Ca1 0.000 0.000 0.000
Cu1 0.000 0.000 0.500
Hg1 0.500 0.500 0.500
# E_form: 5.6 eV per formula unit

---

# 2
# TbSm2Te (GGA-PBE, relaxed)
data_TbSm2Te
_space_group_name_H-M_alt 'P 4/m m m'
_space_group_IT_number 123
_space_group_name_Hall '-P 4 2'
_cell_length_a 5.568
_cell_length_b 5.568
_cell_length_c 3.845
_cell_angle_alpha 90.00
_cell_angle_beta 90.00
_cell_angle_gamma 90.00
loop_
_atom_site_label
_atom_site_fract_x
_atom_site_fract_y
_atom_site_fract_z
Tb1 0.000 0.000 0.000
Sm1 0.000 0.500 0.500
Te1 0.500 0.500 0.000
# Formation energy (no corrections): -470 meV per atom

---

# 3
# ZnRuSe2 (GGA-PBE, relaxed)
data_ZnRuSe2
_space_group_name_H-M_alt 'I -4 m 2'
_space_group_IT_number 119
_space_group_name_Hall 'I -4 -2'
_cell_length_a 3.932
_cell_length_b 3.932
_cell_length_c 8.662
_cell_angle_alpha 90.00
_cell_angle_beta 90.00
_cell_angle_gamma 90.00
loop_
_atom_site_label
_atom_site_fract_x
_atom_site_fract_y
_atom_site_fract_z
Zn1 0.000 0.000 0.000
Ru1 0.000 0.500 0.750
Se1 0.000 0.000 0.500
Se2 0.000 0.500 0.250
# Formation energy (no corrections): 407 meV per atom

---

# 4
# SrAu5 (GGA-PBE, relaxed)
data_SrAu5
_space_group_name_H-M_alt 'P 1 2/m 1'
_space_group_IT_number 10
_space_group_name_Hall '-P 2y'
_cell_length_a 5.422
_cell_length_b 4.704
_cell_length_c 5.601
_cell_angle_alpha 90.00
_cell_angle_beta 92.02
_cell_angle_gamma 90.00
loop_
_atom_site_label
_atom_site_fract_x
_atom_site_fract_y
_atom_site_fract_z
Sr1 0.000 0.000 0.000
Au1 0.000 0.500 0.500
Au2 0.259 0.000 0.507
Au3 0.493 0.500 0.242
# E_form: -2.0 eV per formula unit

---

# 5
# Zn2RePt (GGA-PBE, relaxed)
data_Zn2RePt
_space_group_name_H-M_alt 'P 4/m m m'
_space_group_IT_number 123
_space_group_name_Hall '-P 4 2'
_cell_length_a 3.974
_cell_length_b 3.974
_cell_length_c 3.705
_cell_angle_alpha 90.00
_cell_angle_beta 90.00
_cell_angle_gamma 90.00
loop_
_atom_site_label
_atom_site_fract_x
_atom_site_fract_y
_atom_site_fract_z
Zn1 0.000 0.500 0.000
Re1 0.000 0.000 0.500
Pt1 0.500 0.500 0.500
# E_form: 0.4 eV per formula unit

---

# 6
The following is a GGA-PBE calculation of a relaxed structure of AgHPd3, from the Alexandria database.

The structure in CIF format:
```
data_AgHPd3
_space_group_name_H-M_alt 'P 63/m m c'
_space_group_IT_number 194
_space_group_name_Hall '-P 6c 2c'
_cell_length_a 4.5268
_cell_length_b 4.5268
_cell_length_c 7.8723
_cell_angle_alpha 90.00
_cell_angle_beta 90.00
_cell_angle_gamma 120.00
loop_
_atom_site_label
_atom_site_fract_x
_atom_site_fract_y
_atom_site_fract_z
Ag1 0.3333 0.6667 0.2500
H1 0.0000 0.0000 0.0000
Pd1 0.0000 0.0000 0.2500
Pd2 0.3333 0.6667 0.5812
```

---

# 7
# KBe4Fe (GGA-PBE, relaxed)
data_KBe4Fe
_space_group_name_H-M_alt 'F -4 3 m'
_space_group_IT_number 216
_space_group_name_Hall 'F -4 2 3'
_cell_length_a 6.708
_cell_length_b 6.708
_cell_length_c 6.708
_cell_angle_alpha 90.00
_cell_angle_beta 90.00
_cell_angle_gamma 90.00
loop_
_atom_site_label
_atom_site_fract_x
_atom_site_fract_y
_atom_site_fract_z
K1 0.000 0.000 0.000
Be1 0.117 0.117 0.617
Fe1 0.250 0.250 0.250
# E_form: 4.5 eV per formula unit

---

# 8
# YAg4Hg2 (GGA-PBE, relaxed)
data_YAg4Hg2
_space_group_name_H-M_alt 'I 4/m m m'
_space_group_IT_number 139
_space_group_name_Hall '-I 4 2'
_cell_length_a 7.238
_cell_length_b 7.238
_cell_length_c 5.631
_cell_angle_alpha 90.00
_cell_angle_beta 90.00
_cell_angle_gamma 90.00
loop_
_atom_site_label
_atom_site_fract_x
_atom_site_fract_y
_atom_site_fract_z
Y1 0.000 0.000 0.000
Ag1 0.193 0.193 0.500
Hg1 0.000 0.500 0.250
# E_form: -0.6 eV per formula unit

---

Number 1: DFT total energy -1.800 eV/atom. Number 2: DFT total energy -4.772 eV/atom. Number 3: DFT total energy -3.973 eV/atom. Number 4: DFT total energy -3.339 eV/atom. Number 5: DFT total energy -5.154 eV/atom. Number 6: DFT total energy -4.135 eV/atom. Number 7: DFT total energy -3.327 eV/atom. Number 8: DFT total energy -2.722 eV/atom.